Entry 1:
GaCu6Rh after structural relaxation. Source: Alexandria, functional PBE.

Properties
crystal system	trigonal
mass density	6.981	g/cm3
formation enthalpy at 0 K	344	meV per atom

The structure in CIF format:
```
data_GaCu6Rh
_symmetry_space_group_name_H-M 'R -3 m'
_symmetry_Int_Tables_number 166
_symmetry_space_group_name_Hall '-R 3 2"'
_cell_length_a 4.8283
_cell_length_b 4.8283
_cell_length_c 19.5793
_cell_angle_alpha 90.00
_cell_angle_beta 90.00
_cell_angle_gamma 120.00
loop_
_atom_site_label
_atom_site_type_symbol
_atom_site_fract_x
_atom_site_fract_y
_atom_site_fract_z
Ga1 Ga 0.0000 0.0000 0.0000
Cu1 Cu 0.0010 0.5005 0.4376
Rh1 Rh 0.0000 0.0000 0.5000
```

Entry 2:
As2OsIBr after structural relaxation. Source: Alexandria, functional PBE.

Properties
crystal system	tetragonal
mass density	7.400	g/cm3
formation energy from raw total energies	0.49	eV per atom

The structure in CIF format:
```
data_As2OsIBr
_symmetry_space_group_name_H-M 'P 4/m m m'
_symmetry_Int_Tables_number 123
_symmetry_space_group_name_Hall '-P 4 2'
_cell_length_a 4.846
_cell_length_b 4.846
_cell_length_c 5.225
_cell_angle_alpha 90.00
_cell_angle_beta 90.00
_cell_angle_gamma 90.00
loop_
_atom_site_label
_atom_site_type_symbol
_atom_site_fract_x
_atom_site_fract_y
_atom_site_fract_z
As1 As 0.000 0.500 0.000
Os1 Os 0.000 0.000 0.000
I1 I 0.500 0.500 0.500
Br1 Br 0.000 0.000 0.500
```

Entry 3:
HoSb2Pt after structural relaxation. Source: Alexandria, functional PBE.

Properties
crystal system	trigonal
mass density	8.892	g/cm3
formation energy from raw total energies	-0.18	eV per atom

The structure in CIF format:
```
data_HoSb2Pt
_symmetry_space_group_name_H-M 'R -3 m'
_symmetry_Int_Tables_number 166
_symmetry_space_group_name_Hall '-R 3 2"'
_cell_length_a 3.7010
_cell_length_b 3.7010
_cell_length_c 28.5029
_cell_angle_alpha 90.00
_cell_angle_beta 90.00
_cell_angle_gamma 120.00
loop_
_atom_site_label
_atom_site_type_symbol
_atom_site_fract_x
_atom_site_fract_y
_atom_site_fract_z
Ho1 Ho 0.0000 0.0000 0.0000
Sb1 Sb 0.0000 0.0000 0.1083
Pt1 Pt 0.0000 0.0000 0.5000
```

Entry 4:
Mg2ReW after structural relaxation. Source: Alexandria, functional PBE.

Properties
crystal system	monoclinic
mass density	10.331	g/cm3
formation enthalpy at 0 K	354	meV per atom

The structure in CIF format:
```
data_Mg2ReW
_symmetry_space_group_name_H-M 'C 1 m 1'
_symmetry_Int_Tables_number 8
_cell_length_a 9.246
_cell_length_b 2.727
_cell_length_c 5.348
_cell_angle_alpha 90.00
_cell_angle_beta 93.60
_cell_angle_gamma 90.00
loop_
_symmetry_equiv_pos_as_xyz
'x,y,z'
'x,-y,z'
'x+1/2,y+1/2,z'
'x+1/2,-y+1/2,z'
loop_
_atom_site_label
_atom_site_type_symbol
_atom_site_fract_x
_atom_site_fract_y
_atom_site_fract_z
Mg1 Mg 0.000 0.000 0.000
Mg2 Mg 0.244 0.000 0.762
Re1 Re 0.000 0.500 0.486
W1 W 0.247 0.500 0.281
```